(w)
First-principles (PBE) data for a relaxed structure of TiSbOs2F, as listed in Alexandria.

```
data_TiSbOs2F
_cell_length_a 4.559
_cell_length_b 4.559
_cell_length_c 5.277
_cell_angle_alpha 90.00
_cell_angle_beta 90.00
_cell_angle_gamma 90.00
_space_group_name_H-M_alt 'P 1'
_space_group_IT_number 1
_space_group_name_Hall 'P 1'
loop_
_atom_site_label
_atom_site_type_symbol
_atom_site_fract_x
_atom_site_fract_y
_atom_site_fract_z
Ti1 Ti 0.000 0.000 0.000
Sb1 Sb 0.000 0.000 0.500
Os1 Os 0.000 0.500 0.000
Os2 Os 0.500 0.000 0.000
F1 F 0.500 0.500 0.500
```


(x)
First-principles (PBE) data for a relaxed structure of TiSbOs2F, as listed in Alexandria.

```
data_TiSbOs2F
_cell_length_a 4.913
_cell_length_b 4.913
_cell_length_c 3.991
_cell_angle_alpha 90.00
_cell_angle_beta 90.00
_cell_angle_gamma 90.00
_space_group_name_H-M_alt 'P 1'
_space_group_IT_number 1
_space_group_name_Hall 'P 1'
loop_
_atom_site_label
_atom_site_type_symbol
_atom_site_fract_x
_atom_site_fract_y
_atom_site_fract_z
Ti1 Ti 0.000 0.000 0.000
Sb1 Sb 0.500 0.500 0.500
Os1 Os 0.000 0.500 0.500
Os2 Os 0.500 0.000 0.500
F1 F 0.500 0.500 0.000
```


The structure with the most favorable energy is (x); the runner-up is 0.453 eV/atom above it.


(w)
First-principles (PBE) data for a relaxed structure of ScOsF2, as listed in Alexandria.

```
data_ScOsF2
_cell_length_a 4.329
_cell_length_b 4.329
_cell_length_c 10.788
_cell_angle_alpha 90.00
_cell_angle_beta 90.00
_cell_angle_gamma 120.00
_space_group_name_H-M_alt 'P 1'
_space_group_IT_number 1
_space_group_name_Hall 'P 1'
loop_
_atom_site_label
_atom_site_type_symbol
_atom_site_fract_x
_atom_site_fract_y
_atom_site_fract_z
Sc1 Sc 0.000 0.000 0.000
Sc2 Sc 0.333 0.667 0.667
Sc3 Sc 0.667 0.333 0.333
Os1 Os 0.000 0.000 0.500
Os2 Os 0.333 0.667 0.167
Os3 Os 0.667 0.333 0.833
F1 F 0.000 0.000 0.193
F2 F 0.000 0.000 0.807
F3 F 0.333 0.667 0.474
F4 F 0.333 0.667 0.860
F5 F 0.667 0.333 0.140
F6 F 0.667 0.333 0.526
```


(x)
First-principles (PBE) data for a relaxed structure of ScOsF2, as listed in Alexandria.

```
data_ScOsF2
_cell_length_a 2.798
_cell_length_b 2.798
_cell_length_c 22.333
_cell_angle_alpha 90.00
_cell_angle_beta 90.00
_cell_angle_gamma 120.00
_space_group_name_H-M_alt 'P 1'
_space_group_IT_number 1
_space_group_name_Hall 'P 1'
loop_
_atom_site_label
_atom_site_type_symbol
_atom_site_fract_x
_atom_site_fract_y
_atom_site_fract_z
Sc1 Sc 0.000 0.000 0.000
Sc2 Sc 0.333 0.667 0.667
Sc3 Sc 0.667 0.333 0.333
Os1 Os 0.000 0.000 0.500
Os2 Os 0.333 0.667 0.167
Os3 Os 0.667 0.333 0.833
F1 F 0.000 0.000 0.403
F2 F 0.000 0.000 0.597
F3 F 0.333 0.667 0.070
F4 F 0.333 0.667 0.264
F5 F 0.667 0.333 0.736
F6 F 0.667 0.333 0.930
```


The structure with the most favorable energy is (x); the runner-up is 0.641 eV/atom above it.


(w)
First-principles (PBE) data for a relaxed structure of OsSe2F, as listed in Alexandria.

```
data_OsSe2F
_cell_length_a 5.991
_cell_length_b 5.991
_cell_length_c 10.021
_cell_angle_alpha 90.00
_cell_angle_beta 90.00
_cell_angle_gamma 90.00
_space_group_name_H-M_alt 'P 1'
_space_group_IT_number 1
_space_group_name_Hall 'P 1'
loop_
_atom_site_label
_atom_site_type_symbol
_atom_site_fract_x
_atom_site_fract_y
_atom_site_fract_z
Os1 Os 0.000 0.000 0.000
Os2 Os 0.000 0.500 0.250
Os3 Os 0.500 0.000 0.750
Os4 Os 0.500 0.500 0.500
Se1 Se 0.214 0.250 0.125
Se2 Se 0.250 0.714 0.375
Se3 Se 0.250 0.786 0.875
Se4 Se 0.286 0.250 0.625
Se5 Se 0.714 0.750 0.625
Se6 Se 0.750 0.214 0.875
Se7 Se 0.750 0.286 0.375
Se8 Se 0.786 0.750 0.125
F1 F 0.000 0.000 0.500
F2 F 0.000 0.500 0.750
F3 F 0.500 0.000 0.250
F4 F 0.500 0.500 0.000
```


(x)
First-principles (PBE) data for a relaxed structure of OsSe2F, as listed in Alexandria.

```
data_OsSe2F
_cell_length_a 2.831
_cell_length_b 2.831
_cell_length_c 27.005
_cell_angle_alpha 90.00
_cell_angle_beta 90.00
_cell_angle_gamma 120.00
_space_group_name_H-M_alt 'P 1'
_space_group_IT_number 1
_space_group_name_Hall 'P 1'
loop_
_atom_site_label
_atom_site_type_symbol
_atom_site_fract_x
_atom_site_fract_y
_atom_site_fract_z
Os1 Os 0.000 0.000 0.000
Os2 Os 0.333 0.667 0.667
Os3 Os 0.667 0.333 0.333
Se1 Se 0.000 0.000 0.091
Se2 Se 0.000 0.000 0.909
Se3 Se 0.333 0.667 0.576
Se4 Se 0.333 0.667 0.757
Se5 Se 0.667 0.333 0.243
Se6 Se 0.667 0.333 0.424
F1 F 0.000 0.000 0.500
F2 F 0.333 0.667 0.167
F3 F 0.667 0.333 0.833
```


(y)
First-principles (PBE) data for a relaxed structure of OsSe2F, as listed in Alexandria.

```
data_OsSe2F
_cell_length_a 3.850
_cell_length_b 3.850
_cell_length_c 19.799
_cell_angle_alpha 90.00
_cell_angle_beta 90.00
_cell_angle_gamma 120.00
_space_group_name_H-M_alt 'P 1'
_space_group_IT_number 1
_space_group_name_Hall 'P 1'
loop_
_atom_site_label
_atom_site_type_symbol
_atom_site_fract_x
_atom_site_fract_y
_atom_site_fract_z
Os1 Os 0.000 0.000 0.000
Os2 Os 0.333 0.667 0.667
Os3 Os 0.667 0.333 0.333
Se1 Se 0.000 0.000 0.391
Se2 Se 0.000 0.000 0.609
Se3 Se 0.333 0.667 0.057
Se4 Se 0.333 0.667 0.276
Se5 Se 0.667 0.333 0.724
Se6 Se 0.667 0.333 0.943
F1 F 0.000 0.000 0.500
F2 F 0.333 0.667 0.167
F3 F 0.667 0.333 0.833
```


The structure with the most favorable energy is (y); the runner-up is 0.131 eV/atom above it.


(w)
First-principles (PBE) data for a relaxed structure of OsSeF3, as listed in Alexandria.

```
data_OsSeF3
_cell_length_a 4.189
_cell_length_b 4.189
_cell_length_c 4.189
_cell_angle_alpha 90.00
_cell_angle_beta 90.00
_cell_angle_gamma 90.00
_space_group_name_H-M_alt 'P 1'
_space_group_IT_number 1
_space_group_name_Hall 'P 1'
loop_
_atom_site_label
_atom_site_type_symbol
_atom_site_fract_x
_atom_site_fract_y
_atom_site_fract_z
Os1 Os 0.000 0.000 0.000
Se1 Se 0.500 0.500 0.500
F1 F 0.000 0.000 0.500
F2 F 0.000 0.500 0.000
F3 F 0.500 0.000 0.000
```


(x)
First-principles (PBE) data for a relaxed structure of OsSeF3, as listed in Alexandria.

```
data_OsSeF3
_cell_length_a 4.439
_cell_length_b 4.439
_cell_length_c 4.439
_cell_angle_alpha 90.00
_cell_angle_beta 90.00
_cell_angle_gamma 90.00
_space_group_name_H-M_alt 'P 1'
_space_group_IT_number 1
_space_group_name_Hall 'P 1'
loop_
_atom_site_label
_atom_site_type_symbol
_atom_site_fract_x
_atom_site_fract_y
_atom_site_fract_z
Os1 Os 0.000 0.000 0.000
Se1 Se 0.500 0.500 0.500
F1 F 0.000 0.500 0.500
F2 F 0.500 0.000 0.500
F3 F 0.500 0.500 0.000
```


The structure with the most favorable energy is (w); the runner-up is 0.689 eV/atom above it.


(w)
First-principles (PBE) data for a relaxed structure of Os2SeF, as listed in Alexandria.

```
data_Os2SeF
_cell_length_a 5.972
_cell_length_b 5.972
_cell_length_c 5.972
_cell_angle_alpha 90.00
_cell_angle_beta 90.00
_cell_angle_gamma 90.00
_space_group_name_H-M_alt 'P 1'
_space_group_IT_number 1
_space_group_name_Hall 'P 1'
loop_
_atom_site_label
_atom_site_type_symbol
_atom_site_fract_x
_atom_site_fract_y
_atom_site_fract_z
Os1 Os 0.250 0.250 0.250
Os2 Os 0.250 0.250 0.750
Os3 Os 0.250 0.750 0.250
Os4 Os 0.250 0.750 0.750
Os5 Os 0.750 0.250 0.250
Os6 Os 0.750 0.250 0.750
Os7 Os 0.750 0.750 0.250
Os8 Os 0.750 0.750 0.750
Se1 Se 0.000 0.000 0.000
Se2 Se 0.000 0.500 0.500
Se3 Se 0.500 0.000 0.500
Se4 Se 0.500 0.500 0.000
F1 F 0.000 0.000 0.500
F2 F 0.000 0.500 0.000
F3 F 0.500 0.000 0.000
F4 F 0.500 0.500 0.500
```


(x)
First-principles (PBE) data for a relaxed structure of Os2SeF, as listed in Alexandria.

```
data_Os2SeF
_cell_length_a 6.506
_cell_length_b 6.506
_cell_length_c 5.525
_cell_angle_alpha 90.00
_cell_angle_beta 90.00
_cell_angle_gamma 90.00
_space_group_name_H-M_alt 'P 1'
_space_group_IT_number 1
_space_group_name_Hall 'P 1'
loop_
_atom_site_label
_atom_site_type_symbol
_atom_site_fract_x
_atom_site_fract_y
_atom_site_fract_z
Os1 Os 0.241 0.250 0.125
Os2 Os 0.250 0.741 0.375
Os3 Os 0.250 0.759 0.875
Os4 Os 0.259 0.250 0.625
Os5 Os 0.741 0.750 0.625
Os6 Os 0.750 0.241 0.875
Os7 Os 0.750 0.259 0.375
Os8 Os 0.759 0.750 0.125
Se1 Se 0.000 0.000 0.500
Se2 Se 0.000 0.500 0.750
Se3 Se 0.500 0.000 0.250
Se4 Se 0.500 0.500 0.000
F1 F 0.000 0.000 0.000
F2 F 0.000 0.500 0.250
F3 F 0.500 0.000 0.750
F4 F 0.500 0.500 0.500
```


The structure with the most favorable energy is (w); the runner-up is 0.166 eV/atom above it.


(w)
First-principles (PBE) data for a relaxed structure of Si2OsF, as listed in Alexandria.

```
data_Si2OsF
_cell_length_a 5.924
_cell_length_b 5.924
_cell_length_c 5.924
_cell_angle_alpha 90.00
_cell_angle_beta 90.00
_cell_angle_gamma 90.00
_space_group_name_H-M_alt 'P 1'
_space_group_IT_number 1
_space_group_name_Hall 'P 1'
loop_
_atom_site_label
_atom_site_type_symbol
_atom_site_fract_x
_atom_site_fract_y
_atom_site_fract_z
Si1 Si 0.250 0.250 0.250
Si2 Si 0.250 0.250 0.750
Si3 Si 0.250 0.750 0.250
Si4 Si 0.250 0.750 0.750
Si5 Si 0.750 0.250 0.250
Si6 Si 0.750 0.250 0.750
Si7 Si 0.750 0.750 0.250
Si8 Si 0.750 0.750 0.750
Os1 Os 0.000 0.000 0.000
Os2 Os 0.000 0.500 0.500
Os3 Os 0.500 0.000 0.500
Os4 Os 0.500 0.500 0.000
F1 F 0.000 0.000 0.500
F2 F 0.000 0.500 0.000
F3 F 0.500 0.000 0.000
F4 F 0.500 0.500 0.500
```


(x)
First-principles (PBE) data for a relaxed structure of Si2OsF, as listed in Alexandria.

```
data_Si2OsF
_cell_length_a 5.239
_cell_length_b 5.239
_cell_length_c 10.732
_cell_angle_alpha 90.00
_cell_angle_beta 90.00
_cell_angle_gamma 90.00
_space_group_name_H-M_alt 'P 1'
_space_group_IT_number 1
_space_group_name_Hall 'P 1'
loop_
_atom_site_label
_atom_site_type_symbol
_atom_site_fract_x
_atom_site_fract_y
_atom_site_fract_z
Si1 Si 0.243 0.250 0.125
Si2 Si 0.250 0.743 0.375
Si3 Si 0.250 0.757 0.875
Si4 Si 0.257 0.250 0.625
Si5 Si 0.743 0.750 0.625
Si6 Si 0.750 0.243 0.875
Si7 Si 0.750 0.257 0.375
Si8 Si 0.757 0.750 0.125
Os1 Os 0.000 0.000 0.000
Os2 Os 0.000 0.500 0.250
Os3 Os 0.500 0.000 0.750
Os4 Os 0.500 0.500 0.500
F1 F 0.000 0.000 0.500
F2 F 0.000 0.500 0.750
F3 F 0.500 0.000 0.250
F4 F 0.500 0.500 0.000
```


The structure with the most favorable energy is (x); the runner-up is 0.019 eV/atom above it.


(w)
First-principles (PBE) data for a relaxed structure of Sn3OsF, as listed in Alexandria.

```
data_Sn3OsF
_cell_length_a 5.115
_cell_length_b 5.115
_cell_length_c 5.115
_cell_angle_alpha 90.00
_cell_angle_beta 90.00
_cell_angle_gamma 90.00
_space_group_name_H-M_alt 'P 1'
_space_group_IT_number 1
_space_group_name_Hall 'P 1'
loop_
_atom_site_label
_atom_site_type_symbol
_atom_site_fract_x
_atom_site_fract_y
_atom_site_fract_z
Sn1 Sn 0.000 0.000 0.500
Sn2 Sn 0.000 0.500 0.000
Sn3 Sn 0.500 0.000 0.000
Os1 Os 0.000 0.000 0.000
F1 F 0.500 0.500 0.500
```


(x)
First-principles (PBE) data for a relaxed structure of Sn3OsF, as listed in Alexandria.

```
data_Sn3OsF
_cell_length_a 4.701
_cell_length_b 4.701
_cell_length_c 4.701
_cell_angle_alpha 90.00
_cell_angle_beta 90.00
_cell_angle_gamma 90.00
_space_group_name_H-M_alt 'P 1'
_space_group_IT_number 1
_space_group_name_Hall 'P 1'
loop_
_atom_site_label
_atom_site_type_symbol
_atom_site_fract_x
_atom_site_fract_y
_atom_site_fract_z
Sn1 Sn 0.000 0.000 0.500
Sn2 Sn 0.000 0.500 0.000
Sn3 Sn 0.500 0.000 0.000
Os1 Os 0.500 0.500 0.500
F1 F 0.000 0.000 0.000
```


The structure with the most favorable energy is (w); the runner-up is 0.586 eV/atom above it.


(w)
First-principles (PBE) data for a relaxed structure of SnOs2F, as listed in Alexandria.

```
data_SnOs2F
_cell_length_a 6.267
_cell_length_b 6.267
_cell_length_c 6.267
_cell_angle_alpha 90.00
_cell_angle_beta 90.00
_cell_angle_gamma 90.00
_space_group_name_H-M_alt 'P 1'
_space_group_IT_number 1
_space_group_name_Hall 'P 1'
loop_
_atom_site_label
_atom_site_type_symbol
_atom_site_fract_x
_atom_site_fract_y
_atom_site_fract_z
Sn1 Sn 0.000 0.000 0.000
Sn2 Sn 0.000 0.500 0.500
Sn3 Sn 0.500 0.000 0.500
Sn4 Sn 0.500 0.500 0.000
Os1 Os 0.250 0.250 0.250
Os2 Os 0.250 0.250 0.750
Os3 Os 0.250 0.750 0.250
Os4 Os 0.250 0.750 0.750
Os5 Os 0.750 0.250 0.250
Os6 Os 0.750 0.250 0.750
Os7 Os 0.750 0.750 0.250
Os8 Os 0.750 0.750 0.750
F1 F 0.000 0.000 0.500
F2 F 0.000 0.500 0.000
F3 F 0.500 0.000 0.000
F4 F 0.500 0.500 0.500
```


(x)
First-principles (PBE) data for a relaxed structure of SnOs2F, as listed in Alexandria.

```
data_SnOs2F
_cell_length_a 7.228
_cell_length_b 7.228
_cell_length_c 4.870
_cell_angle_alpha 90.00
_cell_angle_beta 90.00
_cell_angle_gamma 90.00
_space_group_name_H-M_alt 'P 1'
_space_group_IT_number 1
_space_group_name_Hall 'P 1'
loop_
_atom_site_label
_atom_site_type_symbol
_atom_site_fract_x
_atom_site_fract_y
_atom_site_fract_z
Sn1 Sn 0.000 0.000 0.000
Sn2 Sn 0.000 0.500 0.250
Sn3 Sn 0.500 0.000 0.750
Sn4 Sn 0.500 0.500 0.500
Os1 Os 0.198 0.750 0.625
Os2 Os 0.250 0.198 0.375
Os3 Os 0.250 0.302 0.875
Os4 Os 0.302 0.750 0.125
Os5 Os 0.698 0.250 0.125
Os6 Os 0.750 0.698 0.875
Os7 Os 0.750 0.802 0.375
Os8 Os 0.802 0.250 0.625
F1 F 0.000 0.000 0.500
F2 F 0.000 0.500 0.750
F3 F 0.500 0.000 0.250
F4 F 0.500 0.500 0.000
```


The structure with the most favorable energy is (x); the runner-up is 0.025 eV/atom above it.